Sm3Dy5Y4 | PBE | optimized geometry

Values from the calculation:
- crystal system = triclinic
- E_form (eV per formula unit) = 0.21
- final energy (eV per atom) = -5.23
- spin magnetization (μB/atom) = 0.000

Unit cell a=7.1452 b=11.2941 c=12.8789 alpha=151.27 beta=56.38 gamma=129.26
With the nearest neighbours (Å) after each atom.
Atoms (fractional coordinates):
Sm (0.5819, 0.1655, 0.3328)  5 Dy 3.56-3.58, 6 Y 3.57-3.59, 1 Sm 3.57
Sm (0.0000, 0.0000, 0.5000)  2 Sm 3.57, 8 Dy 3.57-3.58, 2 Y 3.57
Sm (0.4181, 0.8345, 0.6672)  5 Dy 3.56-3.58, 6 Y 3.57-3.59, 1 Sm 3.57
Dy (0.3332, 0.6673, 0.8344)  4 Sm 3.56-3.58, 3 Dy 3.56-3.57, 5 Y 3.57-3.58
Dy (0.5000, 0.0000, 0.5000)  4 Y 3.56-3.57, 4 Dy 3.57-3.58, 4 Sm 3.57
Dy (0.7495, 0.4992, 0.9997)  3 Sm 3.56-3.58, 6 Dy 3.56-3.58, 3 Y 3.56-3.57
Dy (0.2505, 0.5008, 0.0003)  3 Sm 3.56-3.58, 6 Dy 3.56-3.58, 3 Y 3.56-3.57
Dy (0.6668, 0.3327, 0.1656)  4 Sm 3.56-3.58, 3 Dy 3.56-3.57, 5 Y 3.57-3.58
Y (0.9168, 0.8341, 0.6673)  4 Sm 3.57-3.58, 5 Dy 3.57-3.58, 3 Y 3.57-3.58
Y (0.8319, 0.6650, 0.8326)  5 Dy 3.56-3.58, 3 Sm 3.57-3.59, 4 Y 3.57-3.59
Y (0.1681, 0.3350, 0.1674)  5 Dy 3.56-3.58, 3 Sm 3.57-3.59, 4 Y 3.57-3.59
Y (0.0832, 0.1659, 0.3327)  4 Sm 3.57-3.58, 5 Dy 3.57-3.58, 3 Y 3.57-3.58

=====

SmDy3Y12 | PBE | optimized geometry

Values from the calculation:
- crystal system = tetragonal
- E_form (eV per formula unit) = 0.37
- final energy (eV per atom) = -5.98
- spin magnetization (μB/atom) = 0.000

Unit cell a=5.0482 b=5.0482 c=20.1910 alpha=90.00 beta=90.00 gamma=90.00
With the nearest neighbours (Å) after each atom.
Atoms (fractional coordinates):
Sm (0.0000, 0.0000, 0.0000)  12 Y 3.57-3.58
Dy (0.0000, 0.0000, 0.2506)  12 Y 3.56-3.57
Dy (0.0000, 0.0000, 0.5000)  12 Y 3.56-3.57
Dy (0.0000, 0.0000, 0.7494)  12 Y 3.56-3.57
Y (0.5000, 0.5000, 0.0000)  4 Sm 3.57, 8 Y 3.58
Y (0.5000, 0.5000, 0.2508)  8 Y 3.56-3.57, 4 Dy 3.57
Y (0.5000, 0.5000, 0.5000)  8 Y 3.56, 4 Dy 3.57
Y (0.5000, 0.5000, 0.7492)  8 Y 3.56-3.57, 4 Dy 3.57
Y (0.5000, 0.0000, 0.1260)  2 Dy 3.56, 8 Y 3.57-3.58, 2 Sm 3.58
Y (0.5000, 0.0000, 0.3753)  8 Y 3.56-3.57, 4 Dy 3.56-3.57
Y (0.5000, 0.0000, 0.6247)  8 Y 3.56-3.57, 4 Dy 3.56-3.57
Y (0.5000, 0.0000, 0.8740)  2 Dy 3.56, 8 Y 3.57-3.58, 2 Sm 3.58
Y (0.0000, 0.5000, 0.1260)  2 Dy 3.56, 8 Y 3.57-3.58, 2 Sm 3.58
Y (0.0000, 0.5000, 0.3753)  8 Y 3.56-3.57, 4 Dy 3.56-3.57
Y (0.0000, 0.5000, 0.6247)  8 Y 3.56-3.57, 4 Dy 3.56-3.57
Y (0.0000, 0.5000, 0.8740)  2 Dy 3.56, 8 Y 3.57-3.58, 2 Sm 3.58

=====

Sm7DyY2 | PBE | optimized geometry

Values from the calculation:
- crystal system = orthorhombic
- E_form (eV per formula unit) = 6.64
- final energy (eV per atom) = -4.39
- spin magnetization (μB/atom) = 0.000

Unit cell a=5.3334 b=9.7567 c=9.7567 alpha=127.18 beta=90.00 gamma=90.00
With the nearest neighbours (Å) after each atom.
Atoms (fractional coordinates):
Sm (0.0000, 0.8028, 0.1972)  2 Y 3.16, 1 Dy 3.45, 4 Sm 3.46
Sm (0.0000, 0.1972, 0.8028)  2 Y 3.16, 1 Dy 3.45, 4 Sm 3.46
Sm (0.5000, 0.0717, 0.2880)  4 Sm 3.12-3.46, 1 Y 3.26
Sm (0.5000, 0.9283, 0.7120)  4 Sm 3.12-3.46, 1 Y 3.26
Sm (0.5000, 0.2880, 0.0717)  4 Sm 3.12-3.46, 1 Y 3.26
Sm (0.5000, 0.7120, 0.9283)  4 Sm 3.12-3.46, 1 Y 3.26
Sm (0.5000, 0.5000, 0.5000)  4 Sm 3.36, 2 Y 3.59
Dy (0.0000, 0.0000, 0.0000)  10 Sm 3.45-3.62
Y (0.5000, 0.7055, 0.2945)  4 Sm 3.16-3.26
Y (0.5000, 0.2945, 0.7055)  4 Sm 3.16-3.26

=====

SmDy6Y | PBE | optimized geometry

Values from the calculation:
- crystal system = tetragonal
- E_form (eV per formula unit) = 0.13
- final energy (eV per atom) = -4.83
- spin magnetization (μB/atom) = 0.000

Unit cell a=5.0239 b=7.1183 c=7.1183 alpha=89.99 beta=90.00 gamma=90.00
With the nearest neighbours (Å) after each atom.
Atoms (fractional coordinates):
Sm (0.5000, 0.0000, 0.0000)  12 Dy 3.56
Dy (0.5000, 0.0000, 0.5000)  8 Dy 3.56, 2 Sm 3.56, 2 Y 3.56
Dy (0.5000, 0.5000, 0.0000)  8 Dy 3.56, 2 Y 3.56, 2 Sm 3.56
Dy (0.0000, 0.2502, 0.2502)  2 Y 3.55, 8 Dy 3.56, 2 Sm 3.56
Dy (0.0000, 0.7498, 0.7498)  2 Y 3.55, 8 Dy 3.56, 2 Sm 3.56
Dy (0.0000, 0.7497, 0.2503)  2 Y 3.55, 8 Dy 3.56, 2 Sm 3.56
Dy (0.0000, 0.2503, 0.7497)  2 Y 3.55, 8 Dy 3.56, 2 Sm 3.56
Y (0.5000, 0.5000, 0.5000)  12 Dy 3.55-3.56

=====

Sm2DyY | PBE | optimized geometry

Values from the calculation:
- crystal system = tetragonal
- E_form (eV per formula unit) = 0.08
- final energy (eV per atom) = -5.11
- spin magnetization (μB/atom) = 0.000

Unit cell a=5.0582 b=5.0910 c=5.0910 alpha=90.00 beta=90.00 gamma=90.00
With the nearest neighbours (Å) after each atom.
Atoms (fractional coordinates):
Y (0.5000, 0.0000, 0.0000)  8 Sm 3.59, 4 Dy 3.60
Sm (0.0000, 0.0000, 0.5000)  4 Dy 3.59, 4 Y 3.59, 4 Sm 3.60
Sm (0.0000, 0.5000, 0.0000)  4 Dy 3.59, 4 Y 3.59, 4 Sm 3.60
Dy (0.5000, 0.5000, 0.5000)  8 Sm 3.59, 4 Y 3.60

=====

Sm3Dy3Y5 | PBE | optimized geometry

Values from the calculation:
- crystal system = hexagonal
- E_form (eV per formula unit) = 8.96
- final energy (eV per atom) = -4.67
- spin magnetization (μB/atom) = 0.000

Unit cell a=5.4389 b=9.6910 c=9.6910 alpha=120.00 beta=90.00 gamma=90.00
With the nearest neighbours (Å) after each atom.
Atoms (fractional coordinates):
Sm (0.5000, 0.6280, 0.6280)  4 Y 3.06-3.20, 2 Dy 3.22
Sm (0.5000, 0.0000, 0.3720)  4 Y 3.06-3.20, 2 Dy 3.22
Sm (0.5000, 0.3720, 0.0000)  4 Y 3.06-3.20, 2 Dy 3.22
Dy (0.0000, 0.4492, 0.4492)  2 Sm 3.22, 2 Y 3.30
Dy (0.0000, 0.5508, 0.0000)  2 Sm 3.22, 2 Y 3.30
Dy (0.0000, 0.0000, 0.5508)  2 Sm 3.22, 2 Y 3.30
Y (0.5000, 0.3333, 0.6667)  3 Sm 3.06
Y (0.5000, 0.6667, 0.3333)  3 Sm 3.06
Y (0.5000, 0.2566, 0.2566)  2 Sm 3.20, 2 Dy 3.30
Y (0.5000, 0.0000, 0.7434)  2 Sm 3.20, 2 Dy 3.30
Y (0.5000, 0.7434, 0.0000)  2 Sm 3.20, 2 Dy 3.30

=====

Sm5Dy3Y4 | PBE | optimized geometry

Values from the calculation:
- crystal system = monoclinic
- E_form (eV per formula unit) = 2.67
- final energy (eV per atom) = -5.05
- spin magnetization (μB/atom) = 0.006

Unit cell a=5.9245 b=8.6511 c=9.6595 alpha=105.83 beta=72.14 gamma=69.98
With the nearest neighbours (Å) after each atom.
Atoms (fractional coordinates):
Sm (0.6244, 0.9518, 0.7995)  2 Dy 3.25-3.54, 1 Sm 3.43, 2 Y 3.63
Sm (0.5000, 0.5000, 0.5000)  4 Dy 2.96-3.08
Sm (0.2118, 0.4618, 0.1146)  4 Dy 3.22-3.46, 3 Y 3.46-3.57
Sm (0.7882, 0.5382, 0.8854)  4 Dy 3.22-3.46, 3 Y 3.46-3.57
Sm (0.3756, 0.0482, 0.2005)  2 Dy 3.25-3.54, 1 Sm 3.43, 2 Y 3.63
Dy (0.5212, 0.6875, 0.2701)  3 Sm 3.08-3.25, 2 Y 3.33-3.44
Dy (0.0000, 0.5000, 0.5000)  2 Sm 2.96
Dy (0.4788, 0.3125, 0.7299)  3 Sm 3.08-3.25, 2 Y 3.33-3.44
Y (0.8573, 0.2227, 0.0626)  2 Y 3.30-3.69, 1 Dy 3.44, 4 Sm 3.46-3.69
Y (0.1636, 0.0509, 0.6219)  3 Dy 3.33-3.54, 3 Y 3.59-3.69, 3 Sm 3.63-3.67
Y (0.8364, 0.9491, 0.3781)  3 Dy 3.33-3.54, 3 Y 3.59-3.69, 3 Sm 3.63-3.67
Y (0.1427, 0.7773, 0.9374)  2 Y 3.30-3.69, 1 Dy 3.44, 4 Sm 3.46-3.69

=====

Sm4Dy15Y | PBE | optimized geometry

Values from the calculation:
- crystal system = tetragonal
- E_form (eV per formula unit) = 0.37
- final energy (eV per atom) = -4.70
- spin magnetization (μB/atom) = 0.000

Unit cell a=5.0407 b=5.0407 c=25.1627 alpha=90.00 beta=90.00 gamma=90.00
With the nearest neighbours (Å) after each atom.
Atoms (fractional coordinates):
Sm (0.0000, 0.0000, 0.1999)  12 Dy 3.56
Sm (0.0000, 0.0000, 0.3999)  12 Dy 3.56
Sm (0.0000, 0.0000, 0.6001)  12 Dy 3.56
Sm (0.0000, 0.0000, 0.8001)  12 Dy 3.56
Dy (0.5000, 0.5000, 0.0000)  8 Dy 3.56, 4 Y 3.56
Dy (0.5000, 0.5000, 0.1997)  8 Dy 3.56-3.57, 4 Sm 3.56
Dy (0.5000, 0.5000, 0.4000)  8 Dy 3.56, 4 Sm 3.56
Dy (0.5000, 0.5000, 0.6000)  8 Dy 3.56, 4 Sm 3.56
Dy (0.5000, 0.5000, 0.8003)  8 Dy 3.56-3.57, 4 Sm 3.56
Dy (0.5000, 0.0000, 0.0997)  8 Dy 3.56, 2 Y 3.56, 2 Sm 3.56
Dy (0.5000, 0.0000, 0.2999)  4 Sm 3.56, 8 Dy 3.56-3.57
Dy (0.5000, 0.0000, 0.5000)  8 Dy 3.56, 4 Sm 3.56
Dy (0.5000, 0.0000, 0.7001)  4 Sm 3.56, 8 Dy 3.56-3.57
Dy (0.5000, 0.0000, 0.9003)  8 Dy 3.56, 2 Y 3.56, 2 Sm 3.56
Dy (0.0000, 0.5000, 0.0997)  8 Dy 3.56, 2 Y 3.56, 2 Sm 3.56
Dy (0.0000, 0.5000, 0.2999)  4 Sm 3.56, 8 Dy 3.56-3.57
Dy (0.0000, 0.5000, 0.5000)  8 Dy 3.56, 4 Sm 3.56
Dy (0.0000, 0.5000, 0.7001)  4 Sm 3.56, 8 Dy 3.56-3.57
Dy (0.0000, 0.5000, 0.9003)  8 Dy 3.56, 2 Y 3.56, 2 Sm 3.56
Y (0.0000, 0.0000, 0.0000)  12 Dy 3.56

=====

Sm4Dy4Y3 | PBE | optimized geometry

Values from the calculation:
- crystal system = triclinic
- E_form (eV per formula unit) = 0.59
- final energy (eV per atom) = -5.10
- spin magnetization (μB/atom) = 0.000

Unit cell a=3.5483 b=5.6529 c=18.1383 alpha=81.04 beta=84.37 gamma=89.99
With the nearest neighbours (Å) after each atom.
Atoms (fractional coordinates):
Sm (0.5907, 0.0907, 0.8192)  3 Dy 3.21-3.25, 2 Sm 3.55
Sm (0.2674, 0.2670, 0.4658)  4 Dy 3.39-3.56, 6 Sm 3.55
Sm (0.7327, 0.7330, 0.5342)  4 Dy 3.39-3.56, 6 Sm 3.55
Sm (0.4093, 0.9094, 0.1808)  3 Dy 3.21-3.25, 2 Sm 3.55
Dy (0.5461, 0.5459, 0.9088)  2 Sm 3.25, 3 Dy 3.25-3.55
Dy (0.4539, 0.4541, 0.0912)  2 Sm 3.25, 3 Dy 3.25-3.55
Dy (0.3189, 0.8195, 0.3608)  5 Sm 3.21-3.56, 2 Dy 3.55
Dy (0.6811, 0.1806, 0.6392)  5 Sm 3.21-3.56, 2 Dy 3.55
Y (0.1366, 0.6364, 0.7277)  2 Y 3.55, 6 Dy 3.68-3.69, 6 Sm 3.71-3.88
Y (0.8634, 0.3637, 0.2723)  2 Y 3.55, 6 Dy 3.68-3.69, 6 Sm 3.71-3.88
Y (0.0000, 0.0000, 0.0000)  2 Y 3.55, 4 Sm 3.68, 8 Dy 3.71